{"formula": "RePbAu", "functional": "GGA-PBEsol", "state": "optimized geometry", "lattice": [[-1.407, 2.146, 4.982], [1.407, -2.146, 4.982], [1.407, 2.146, -4.982]], "species": ["Re", "Pb", "Au"], "fractional_positions": [[0.000, 0.000, 0.000], [0.296, 0.296, 0.000], [0.590, 0.590, 0.000]], "formation_enthalpy_0k_ev_per_atom": 0.931}

{"formula": "MgMnB2", "functional": "GGA-PBEsol", "state": "optimized geometry", "lattice": [[-1.838, 1.838, 6.968], [1.838, -1.838, 6.968], [1.838, 1.838, -6.968]], "species": ["Mg", "Mg", "Mn", "Mn", "B", "B", "B", "B"], "fractional_positions": [[0.375, 0.625, 0.750], [0.625, 0.375, 0.250], [0.125, 0.875, 0.250], [0.875, 0.125, 0.750], [0.000, 0.000, 0.000], [0.000, 0.000, 0.500], [0.000, 0.500, 0.000], [0.500, 0.000, 0.500]], "formation_enthalpy_0k_ev_per_atom": 0.390}

{"formula": "ZnSiRh2", "functional": "GGA-PBEsol", "state": "optimized geometry", "lattice": [[3.158, 0.000, 0.000], [0.000, 3.158, 0.000], [0.000, 0.000, 5.336]], "species": ["Zn", "Si", "Rh", "Rh"], "fractional_positions": [[0.000, 0.000, 0.000], [0.500, 0.500, 0.722], [0.000, 0.000, 0.526], [0.500, 0.500, 0.195]], "e_above_lowest_polymorph_mev_per_atom": 364.2}

{"formula": "Ti2HgPtF", "functional": "GGA-PBEsol", "state": "optimized geometry", "lattice": [[4.862, 0.000, 0.000], [0.000, 4.862, 0.000], [0.000, 0.000, 4.161]], "species": ["Ti", "Ti", "Hg", "Pt", "F"], "fractional_positions": [[0.000, 0.500, 0.000], [0.500, 0.000, 0.000], [0.000, 0.000, 0.500], [0.500, 0.500, 0.000], [0.500, 0.500, 0.500]], "dft_energy_ev_per_cell": -25.34}

{"formula": "Li2FeO2F", "functional": "GGA-PBEsol", "state": "optimized geometry", "lattice": [[2.452, -4.258, 0.000], [2.452, 4.258, 0.000], [-1.615, 0.000, 9.422]], "species": ["Li", "Li", "Li", "Li", "Li", "Li", "Li", "Li", "Fe", "Fe", "Fe", "Fe", "O", "O", "O", "O", "O", "O", "O", "O", "F", "F", "F", "F"], "fractional_positions": [[0.000, 0.000, 0.000], [0.078, 0.434, 0.250], [0.247, 0.236, 0.753], [0.399, 0.083, 0.253], [0.566, 0.922, 0.750], [0.654, 0.346, 0.000], [0.764, 0.753, 0.247], [0.917, 0.601, 0.747], [0.161, 0.839, 0.500], [0.298, 0.702, 0.000], [0.494, 0.506, 0.500], [0.828, 0.172, 0.500], [0.041, 0.711, 0.126], [0.126, 0.137, 0.392], [0.196, 0.540, 0.607], [0.289, 0.959, 0.874], [0.460, 0.804, 0.393], [0.532, 0.209, 0.607], [0.791, 0.468, 0.393], [0.863, 0.874, 0.608], [0.375, 0.389, 0.126], [0.611, 0.625, 0.874], [0.712, 0.050, 0.129], [0.950, 0.288, 0.871]], "e_above_lowest_polymorph_mev_per_atom": 68.8}

{"formula": "Cs2KAu", "functional": "GGA-PBEsol", "state": "optimized geometry", "lattice": [[-6.221, 6.221, 3.325], [6.221, -6.221, 3.325], [6.221, 6.221, -3.325]], "species": ["Cs", "Cs", "Cs", "Cs", "K", "K", "Au", "Au"], "fractional_positions": [[0.375, 0.235, 0.360], [0.765, 0.125, 0.140], [0.875, 0.015, 0.640], [0.985, 0.625, 0.860], [0.250, 0.750, 0.500], [0.500, 0.500, 0.000], [0.000, 0.000, 0.000], [0.750, 0.250, 0.500]], "formation_enthalpy_0k_ev_per_atom": -0.049}

{"formula": "HgTe2P", "functional": "GGA-PBEsol", "state": "optimized geometry", "lattice": [[5.799, 0.000, 0.000], [0.000, 5.799, 0.000], [0.000, 0.000, 3.029]], "species": ["Hg", "Te", "Te", "P"], "fractional_positions": [[0.000, 0.000, 0.000], [0.000, 0.500, 0.000], [0.500, 0.000, 0.000], [0.500, 0.500, 0.000]], "e_above_lowest_polymorph_mev_per_atom": 66.2}

{"formula": "MnRe2Hg", "functional": "GGA-PBEsol", "state": "optimized geometry", "lattice": [[4.666, -1.396, 0.000], [4.666, 1.396, 0.000], [-1.100, 0.000, 4.565]], "species": ["Mn", "Re", "Re", "Hg"], "fractional_positions": [[0.000, 0.000, 0.000], [0.268, 0.268, 0.774], [0.732, 0.732, 0.226], [0.500, 0.500, 0.500]], "formation_enthalpy_0k_ev_per_atom": 0.481}

{"formula": "KCd2Au", "functional": "GGA-PBEsol", "state": "optimized geometry", "lattice": [[3.633, 0.000, 0.000], [0.000, 3.633, 0.000], [0.000, 0.000, 7.755]], "species": ["K", "Cd", "Cd", "Au"], "fractional_positions": [[0.000, 0.000, 0.000], [0.000, 0.000, 0.448], [0.500, 0.500, 0.672], [0.500, 0.500, 0.299]], "formation_enthalpy_0k_ev_per_atom": -0.047}

{"formula": "Eu3Ge13Os4", "functional": "GGA-PBEsol", "state": "optimized geometry", "lattice": [[9.045, 0.000, 0.000], [0.000, 9.045, 0.000], [0.000, 0.000, 9.045]], "species": ["Eu", "Eu", "Eu", "Eu", "Eu", "Eu", "Ge", "Ge", "Ge", "Ge", "Ge", "Ge", "Ge", "Ge", "Ge", "Ge", "Ge", "Ge", "Ge", "Ge", "Ge", "Ge", "Ge", "Ge", "Ge", "Ge", "Ge", "Ge", "Ge", "Ge", "Ge", "Ge", "Os", "Os", "Os", "Os", "Os", "Os", "Os", "Os"], "fractional_positions": [[0.000, 0.250, 0.500], [0.000, 0.750, 0.500], [0.250, 0.500, 0.000], [0.500, 0.000, 0.250], [0.500, 0.000, 0.750], [0.750, 0.500, 0.000], [0.000, 0.000, 0.000], [0.000, 0.294, 0.146], [0.000, 0.294, 0.854], [0.000, 0.706, 0.146], [0.000, 0.706, 0.854], [0.146, 0.000, 0.294], [0.146, 0.000, 0.706], [0.206, 0.500, 0.354], [0.206, 0.500, 0.646], [0.294, 0.146, 0.000], [0.294, 0.854, 0.000], [0.354, 0.206, 0.500], [0.354, 0.794, 0.500], [0.500, 0.354, 0.206], [0.500, 0.354, 0.794], [0.500, 0.500, 0.500], [0.500, 0.646, 0.206], [0.500, 0.646, 0.794], [0.646, 0.206, 0.500], [0.646, 0.794, 0.500], [0.706, 0.146, 0.000], [0.706, 0.854, 0.000], [0.794, 0.500, 0.354], [0.794, 0.500, 0.646], [0.854, 0.000, 0.294], [0.854, 0.000, 0.706], [0.250, 0.250, 0.250], [0.250, 0.250, 0.750], [0.250, 0.750, 0.250], [0.250, 0.750, 0.750], [0.750, 0.250, 0.250], [0.750, 0.250, 0.750], [0.750, 0.750, 0.250], [0.750, 0.750, 0.750]], "formation_enthalpy_0k_ev_per_atom": -0.316}

{"formula": "InCo22B6", "functional": "GGA-PBEsol", "state": "optimized geometry", "lattice": [[0.000, 5.179, 5.179], [5.179, 0.000, 5.179], [5.179, 5.179, 0.000]], "species": ["In", "Co", "Co", "Co", "Co", "Co", "Co", "Co", "Co", "Co", "Co", "Co", "Co", "Co", "Co", "Co", "Co", "Co", "Co", "Co", "Co", "Co", "Co", "B", "B", "B", "B", "B", "B"], "fractional_positions": [[0.000, 0.000, 0.000], [0.000, 0.000, 0.346], [0.000, 0.000, 0.654], [0.000, 0.346, 0.000], [0.000, 0.346, 0.654], [0.000, 0.654, 0.000], [0.000, 0.654, 0.346], [0.141, 0.620, 0.620], [0.250, 0.250, 0.250], [0.346, 0.000, 0.000], [0.346, 0.000, 0.654], [0.346, 0.654, 0.000], [0.380, 0.380, 0.380], [0.380, 0.380, 0.859], [0.380, 0.859, 0.380], [0.620, 0.141, 0.620], [0.620, 0.620, 0.141], [0.620, 0.620, 0.620], [0.654, 0.000, 0.000], [0.654, 0.000, 0.346], [0.654, 0.346, 0.000], [0.750, 0.750, 0.750], [0.859, 0.380, 0.380], [0.278, 0.278, 0.722], [0.278, 0.722, 0.278], [0.278, 0.722, 0.722], [0.722, 0.278, 0.278], [0.722, 0.278, 0.722], [0.722, 0.722, 0.278]], "formation_enthalpy_0k_ev_per_atom": -0.142}

{"formula": "PH9PtC3Cl2", "functional": "GGA-PBEsol", "state": "optimized geometry", "lattice": [[6.770, 0.000, 0.000], [0.000, 10.362, 0.000], [-3.790, 0.000, 11.283]], "species": ["P", "P", "P", "P", "H", "H", "H", "H", "H", "H", "H", "H", "H", "H", "H", "H", "H", "H", "H", "H", "H", "H", "H", "H", "H", "H", "H", "H", "H", "H", "H", "H", "H", "H", "H", "H", "H", "H", "H", "H", "Pt", "Pt", "Pt", "Pt", "C", "C", "C", "C", "C", "C", "C", "C", "C", "C", "C", "C", "Cl", "Cl", "Cl", "Cl", "Cl", "Cl", "Cl", "Cl"], "fractional_positions": [[0.205, 0.165, 0.291], [0.205, 0.335, 0.791], [0.795, 0.665, 0.209], [0.795, 0.835, 0.709], [0.061, 0.669, 0.115], [0.061, 0.831, 0.615], [0.082, 0.019, 0.411], [0.082, 0.481, 0.911], [0.112, 0.110, 0.790], [0.112, 0.390, 0.290], [0.195, 0.163, 0.492], [0.195, 0.337, 0.992], [0.336, 0.134, 0.743], [0.336, 0.366, 0.243], [0.361, 0.144, 0.897], [0.361, 0.356, 0.397], [0.438, 0.516, 0.839], [0.438, 0.984, 0.339], [0.450, 0.627, 0.077], [0.450, 0.873, 0.577], [0.462, 0.612, 0.230], [0.462, 0.888, 0.730], [0.538, 0.112, 0.270], [0.538, 0.388, 0.770], [0.550, 0.127, 0.423], [0.550, 0.373, 0.923], [0.562, 0.016, 0.661], [0.562, 0.484, 0.161], [0.639, 0.644, 0.603], [0.639, 0.856, 0.103], [0.664, 0.634, 0.757], [0.664, 0.866, 0.257], [0.805, 0.663, 0.008], [0.805, 0.837, 0.508], [0.888, 0.610, 0.710], [0.888, 0.890, 0.210], [0.918, 0.519, 0.089], [0.918, 0.981, 0.589], [0.939, 0.169, 0.385], [0.939, 0.331, 0.885], [0.001, 0.609, 0.386], [0.001, 0.891, 0.886], [0.999, 0.109, 0.114], [0.999, 0.391, 0.614], [0.094, 0.125, 0.406], [0.094, 0.375, 0.906], [0.258, 0.164, 0.806], [0.258, 0.336, 0.306], [0.458, 0.089, 0.335], [0.458, 0.411, 0.835], [0.542, 0.589, 0.165], [0.542, 0.911, 0.665], [0.742, 0.664, 0.694], [0.742, 0.836, 0.194], [0.906, 0.625, 0.094], [0.906, 0.875, 0.594], [0.225, 0.541, 0.579], [0.225, 0.959, 0.079], [0.246, 0.749, 0.869], [0.246, 0.751, 0.369], [0.754, 0.249, 0.631], [0.754, 0.251, 0.131], [0.775, 0.041, 0.921], [0.775, 0.459, 0.421]], "dft_energy_ev_per_cell": -321.21}

Theoretical density per entry: 16.29 3.56 9.34 8.62 4.08 3.24 7.93 17.53 7.48 9.70 8.82 2.87 Mg/m³